DFT (PBE-GGA) results for crystalline Pm5TlIn2 at its relaxed geometry.

CIF file:
```
data_Pm5TlIn2
_symmetry_space_group_name_H-M 'P 1'
_symmetry_Int_Tables_number 1
_symmetry_space_group_name_Hall 'P 1'
_cell_length_a 8.246
_cell_length_b 8.246
_cell_length_c 9.393
_cell_angle_alpha 116.04
_cell_angle_beta 116.04
_cell_angle_gamma 90.00
loop_
_atom_site_label
_atom_site_fract_x
_atom_site_fract_y
_atom_site_fract_z
_atom_site_occupancy
In1 0.373 0.873 0.000 1
In2 0.873 0.627 0.000 1
In3 0.127 0.373 0.000 1
In4 0.627 0.127 0.000 1
Pm1 0.319 0.819 0.303 1
Pm2 0.181 0.015 0.697 1
Pm3 0.515 0.681 0.697 1
Pm4 0.000 0.000 0.000 1
Pm5 0.500 0.500 0.000 1
Pm6 0.985 0.485 0.303 1
Pm7 0.819 0.985 0.303 1
Pm8 0.015 0.515 0.697 1
Pm9 0.485 0.319 0.303 1
Pm10 0.681 0.181 0.697 1
Tl1 0.750 0.750 0.500 1
Tl2 0.250 0.250 0.500 1
```

Output
The value obtained for the total magnetic moment is 0.000 μB/atom. The value obtained for the density of states at the Fermi level is 1.1138 states/eV/atom. As for the formation energy: -2.65 eV/f.u. The final energy is -4.281 eV/atom.